Material: Sc2SiAu
Method: DFT, meta-GGA SCAN
State: single point on PBEsol structure

Output
Raw formation energy (meV per atom): -950
SG: Amm2
Mass density (Mg/m³): 6.90
V (Å³ per cell): 75.8

Cell lengths 4.032, 5.399, 5.399 Å; angles 40.14, 90.00, 90.00 degrees
Element x y z (fractional)
1 Sc 0.000 0.000 0.000
2 Sc 0.500 0.288 0.288
3 Si 0.000 0.727 0.727
4 Au 0.500 0.564 0.564


Material: AlRh2Au
Method: DFT, meta-GGA SCAN
State: single point on PBEsol structure

Output
Formation energy from the elements (eV per formula unit): -1.519
SG: Cmmm
Mass density (Mg/m³): 12.27
V (Å³ per cell): 58.1

Cell lengths 2.740, 2.740, 8.607 Å; angles 90.00, 90.00, 115.82 degrees
Element x y z (fractional)
1 Al 0.000 0.000 0.000
2 Rh 0.500 0.500 0.224
3 Rh 0.500 0.500 0.776
4 Au 0.000 0.000 0.500


Material: CaAlCu2
Method: DFT, meta-GGA SCAN
State: single point on PBEsol structure

Output
Formation energy from the elements (eV per formula unit): -0.898
SG: Cm
Mass density (Mg/m³): 4.20
V (Å³ per cell): 76.8

Cell lengths 4.168, 4.168, 5.648 Å; angles 111.75, 111.75, 60.00 degrees
Element x y z (fractional)
1 Ca 0.000 0.000 0.000
2 Al 0.193 0.193 0.580
3 Cu 0.490 0.490 0.472
4 Cu 0.806 0.806 0.420


Material: Zr2CuMo
Method: DFT, meta-GGA SCAN
State: single point on PBEsol structure

Output
Formation energy from the elements (eV per formula unit): -0.473
Relative energy among the computed polymorphs (meV/atom): 0.0
SG: Fm-3m
Mass density (Mg/m³): 8.15
V (Å³ per cell): 69.7

Cell lengths 4.619, 4.619, 4.619 Å; angles 60.00, 60.00, 60.00 degrees
Element x y z (fractional)
1 Zr 0.250 0.250 0.250
2 Zr 0.750 0.750 0.750
3 Cu 0.000 0.000 0.000
4 Mo 0.500 0.500 0.500


| no. | VASP energy (eV per atom) |
| --- | --- |
| 1 | -27.862 |
| 2 | -36.493 |
| 3 | -12.178 |
| 4 | -27.989 |